Material: CeV2AgO8
Method: DFT, PBE+U
State: optimized geometry

Structure (POSCAR):
```
CeV2AgO8
1.0
5.912 0.000 0.000
-2.956 5.120 0.000
0.000 0.000 6.366
O V Ce Ag
8 2 1 1
direct
0.167 0.833 0.770
0.333 0.667 0.426
0.833 0.167 0.230
0.667 0.333 0.574
0.334 0.167 0.230
0.666 0.833 0.770
0.167 0.334 0.770
0.833 0.666 0.230
0.333 0.667 0.683
0.667 0.333 0.317
0.000 0.000 0.000
0.000 0.000 0.500
```

Results
E_tot = -7.12 eV per atom
Volume = 16.06 A^3/atom